{
  "formula": "Tc2AsS",
  "functional": "PBE-GGA",
  "state": "optimized geometry",
  "space_group": "I-42d",
  "energy_ev_per_cell": -58.03,
  "dos_ef_per_ev_atom": 1.03,
  "cell": [[-0.6184, 3.1953, -4.4980], [-5.4182, -1.2063, -0.1120], [-3.9601, 4.9518, 0.6357]],
  "species": ["S", "S", "As", "As", "Tc", "Tc", "Tc", "Tc"],
  "frac_coords": [[0.5000, 0.5000, 0.0000], [0.2500, 0.7500, 0.5000], [0.0000, 0.0000, 0.0000], [0.7500, 0.2500, 0.5000], [0.5995, 0.1250, 0.2500], [0.1505, 0.6250, 0.2500], [0.3750, 0.4005, 0.7500], [0.8750, 0.8495, 0.7500]]
}